{"formula": "TaMoC2", "functional": "GGA-PBE", "state": "relaxed", "polymorph_energy_mev_per_atom": 2336, "e_form_ev_per_atom": 2.11, "cell": [[5.8059, 0.0000, 0.0000], [0.0000, 5.8059, 0.0000], [0.0000, 0.0000, 5.8059]], "species": ["Ta", "Ta", "Ta", "Ta", "Mo", "Mo", "Mo", "Mo", "C", "C", "C", "C", "C", "C", "C", "C"], "frac_coords": [[0.0000, 0.0000, 0.0000], [0.0000, 0.5000, 0.5000], [0.5000, 0.0000, 0.5000], [0.5000, 0.5000, 0.0000], [0.2500, 0.2500, 0.2500], [0.2500, 0.7500, 0.7500], [0.7500, 0.2500, 0.7500], [0.7500, 0.7500, 0.2500], [0.0000, 0.0000, 0.5000], [0.0000, 0.5000, 0.0000], [0.2500, 0.2500, 0.7500], [0.2500, 0.7500, 0.2500], [0.5000, 0.0000, 0.0000], [0.5000, 0.5000, 0.5000], [0.7500, 0.2500, 0.2500], [0.7500, 0.7500, 0.7500]]}

=====

{"formula": "MnAl2W", "functional": "GGA-PBE", "state": "relaxed", "polymorph_energy_mev_per_atom": 96, "e_form_ev_per_atom": -0.07, "cell": [[5.5640, 0.0000, 0.0000], [0.0000, 7.7744, 0.0000], [0.0000, 0.0000, 2.7402]], "species": ["Mn", "Mn", "Al", "Al", "Al", "Al", "W", "W"], "frac_coords": [[0.0000, 0.0000, 0.0000], [0.5000, 0.5000, 0.0000], [0.2500, 0.2500, 0.5000], [0.2500, 0.7500, 0.5000], [0.7500, 0.2500, 0.5000], [0.7500, 0.7500, 0.5000], [0.0000, 0.5000, 0.0000], [0.5000, 0.0000, 0.0000]]}

=====

{"formula": "ZrRh3", "functional": "GGA-PBE", "state": "relaxed", "e_form_ev_per_atom": -0.40, "cell": [[9.2274, 0.0000, 0.0000], [0.0000, 2.9646, 0.0000], [-0.9809, 0.0000, 4.6585]], "species": ["Zr", "Zr", "Rh", "Rh", "Rh", "Rh", "Rh", "Rh"], "frac_coords": [[0.0000, 0.0000, 0.0000], [0.5000, 0.5000, 0.0000], [0.0000, 0.5000, 0.5000], [0.2483, 0.0000, 0.7382], [0.2517, 0.5000, 0.2618], [0.5000, 0.0000, 0.5000], [0.7483, 0.5000, 0.7382], [0.7517, 0.0000, 0.2618]]}

=====

{"formula": "Bi2Pd4Au3", "functional": "GGA-PBE", "state": "relaxed", "e_form_ev_per_atom": -0.16, "cell": [[4.2367, -2.2694, 0.0000], [4.2367, 2.2694, 0.0000], [-0.8889, 0.0000, 8.7610]], "species": ["Bi", "Bi", "Pd", "Pd", "Pd", "Pd", "Au", "Au", "Au"], "frac_coords": [[0.1715, 0.1715, 0.2155], [0.8285, 0.8285, 0.7845], [0.1627, 0.1627, 0.8854], [0.4934, 0.4934, 0.6649], [0.5066, 0.5066, 0.3351], [0.8373, 0.8373, 0.1146], [0.1613, 0.1613, 0.5535], [0.5000, 0.5000, 0.0000], [0.8387, 0.8387, 0.4465]]}

=====

{"formula": "Cd2In9Hg3", "functional": "GGA-PBE", "state": "relaxed", "e_form_ev_per_atom": 0.05, "cell": [[5.1663, -5.5985, 0.0000], [5.1663, 5.5985, 0.0000], [-0.0084, 0.0000, 6.6264]], "species": ["Cd", "Cd", "In", "In", "In", "In", "In", "In", "In", "In", "In", "Hg", "Hg", "Hg"], "frac_coords": [[0.1268, 0.8732, 0.0000], [0.8732, 0.1268, 0.0000], [0.0000, 0.0000, 0.5000], [0.1237, 0.6201, 0.3667], [0.2152, 0.4963, 0.8749], [0.3799, 0.8763, 0.6333], [0.4963, 0.2152, 0.8749], [0.5037, 0.7848, 0.1251], [0.6201, 0.1237, 0.3667], [0.7848, 0.5037, 0.1251], [0.8763, 0.3799, 0.6333], [0.2376, 0.2376, 0.2429], [0.5000, 0.5000, 0.5000], [0.7624, 0.7624, 0.7571]]}

=====

{"formula": "La2CdBiIr", "functional": "GGA-PBE", "state": "relaxed", "e_form_ev_per_atom": -0.62, "cell": [[5.5187, 0.0000, 0.0000], [0.0000, 5.5187, 0.0000], [0.0000, 0.0000, 5.2014]], "species": ["La", "La", "Cd", "Bi", "Ir"], "frac_coords": [[0.0000, 0.5000, 0.0000], [0.5000, 0.0000, 0.0000], [0.0000, 0.0000, 0.5000], [0.5000, 0.5000, 0.5000], [0.0000, 0.0000, 0.0000]]}

=====

{"formula": "LaTbBiSe", "functional": "GGA-PBE", "state": "relaxed", "raw_formation_energy_kj_per_mol_atoms": -125.3, "cell": [[4.2850, 0.0000, 0.0000], [-2.1425, 3.7109, 0.0000], [0.0000, 0.0000, 23.2510]], "species": ["La", "La", "La", "Tb", "Tb", "Tb", "Bi", "Bi", "Bi", "Se", "Se", "Se"], "frac_coords": [[0.0000, 0.0000, 0.0000], [0.3333, 0.6667, 0.6667], [0.6667, 0.3333, 0.3333], [0.0000, 0.0000, 0.1631], [0.3333, 0.6667, 0.8298], [0.6667, 0.3333, 0.4965], [0.0000, 0.0000, 0.5764], [0.3333, 0.6667, 0.2431], [0.6667, 0.3333, 0.9098], [0.0000, 0.0000, 0.7546], [0.3333, 0.6667, 0.4213], [0.6667, 0.3333, 0.0879]]}

=====

{"formula": "NdTmGaRh", "functional": "GGA-PBE", "state": "relaxed", "polymorph_energy_mev_per_atom": 85, "e_form_ev_per_atom": -0.61, "cell": [[7.0955, 0.0000, 0.0000], [0.0000, 7.0955, 0.0000], [0.0000, 0.0000, 7.0955]], "species": ["Nd", "Nd", "Nd", "Nd", "Tm", "Tm", "Tm", "Tm", "Ga", "Ga", "Ga", "Ga", "Rh", "Rh", "Rh", "Rh"], "frac_coords": [[0.0000, 0.0000, 0.0000], [0.0000, 0.5000, 0.5000], [0.5000, 0.0000, 0.5000], [0.5000, 0.5000, 0.0000], [0.0000, 0.0000, 0.5000], [0.0000, 0.5000, 0.0000], [0.5000, 0.0000, 0.0000], [0.5000, 0.5000, 0.5000], [0.2500, 0.2500, 0.2500], [0.2500, 0.7500, 0.7500], [0.7500, 0.2500, 0.7500], [0.7500, 0.7500, 0.2500], [0.2500, 0.2500, 0.7500], [0.2500, 0.7500, 0.2500], [0.7500, 0.2500, 0.2500], [0.7500, 0.7500, 0.7500]]}

=====

| no. | total magnetization (μB/cell) |
| --- | --- |
| 1 | 0.001 |
| 2 | 6.238 |
| 3 | 0.000 |
| 4 | 0.000 |
| 5 | 0.000 |
| 6 | 0.000 |
| 7 | 1.738 |
| 8 | 0.000 |